Material: SmY6Sc2
Method: DFT, GGA-PBE
State: optimized geometry

relative energy among the computed polymorphs: 0.00 kJ/mol of atoms
total magnetization: 0.014 μB per atom
DOS(E_F): 2.0628 states/eV/atom
ΔH_f (0 K): 0.44 eV/f.u.

a b c (Å): 9.5341 9.5341 3.5279
angles (deg): 90.00 90.00 120.00
Positions (direct):
1 Sm 0.0000 0.0000 0.0000
2 Y 0.0000 0.3714 0.0000
3 Y 0.0000 0.6951 0.5000
4 Y 0.3049 0.3049 0.5000
5 Y 0.3714 0.0000 0.0000
6 Y 0.6286 0.6286 0.0000
7 Y 0.6951 0.0000 0.5000
8 Sc 0.3333 0.6667 0.5000
9 Sc 0.6667 0.3333 0.5000



Material: SmY3Sc2
Method: DFT, GGA-PBE
State: optimized geometry

relative energy among the computed polymorphs: 0.00 kJ/mol of atoms
total magnetization: 0.000 μB per atom
DOS(E_F): 1.6870 states/eV/atom
ΔH_f (0 K): 0.72 eV/f.u.

a b c (Å): 9.3730 3.4523 11.2305
angles (deg): 90.00 93.99 90.00
Positions (direct):
1 Sm 0.2397 0.2500 0.3551
2 Sm 0.7603 0.7500 0.6449
3 Y 0.0733 0.7500 0.1215
4 Y 0.2486 0.7500 0.8632
5 Y 0.4006 0.7500 0.6076
6 Y 0.5994 0.2500 0.3924
7 Y 0.7514 0.2500 0.1368
8 Y 0.9267 0.2500 0.8785
9 Sc 0.0818 0.2500 0.6183
10 Sc 0.4390 0.7500 0.1421
11 Sc 0.5610 0.2500 0.8579
12 Sc 0.9182 0.7500 0.3817



Material: Sm5Y2Sc4
Method: DFT, GGA-PBE
State: optimized geometry

total magnetization: 0.000 μB per atom
DOS(E_F): 1.7454 states/eV/atom
ΔH_f (0 K): 1.71 eV/f.u.

a b c (Å): 12.3696 12.3696 12.3696
angles (deg): 164.05 138.73 44.51
Positions (direct):
1 Sm 0.0000 0.0000 0.0000
2 Sm 0.0609 0.3601 0.7008
3 Sm 0.3408 0.6399 0.7008
4 Sm 0.6592 0.3601 0.2992
5 Sm 0.9391 0.6399 0.2992
6 Y 0.2698 0.7698 0.5000
7 Y 0.7302 0.2302 0.5000
8 Sc 0.3241 0.5000 0.8241
9 Sc 0.4066 0.9066 0.5000
10 Sc 0.5934 0.0934 0.5000
11 Sc 0.6759 0.5000 0.1759



Material: Sm2Y3Sc
Method: DFT, GGA-PBE
State: optimized geometry

relative energy among the computed polymorphs: 0.00 kJ/mol of atoms
total magnetization: 0.000 μB per atom
DOS(E_F): 1.4851 states/eV/atom
ΔH_f (0 K): 0.24 eV/f.u.

a b c (Å): 9.3589 9.3589 6.1335
angles (deg): 90.12 90.12 44.44
Positions (direct):
1 Sm 0.0388 0.2908 0.4147
2 Sm 0.2908 0.0388 0.9147
3 Sm 0.7092 0.9612 0.0853
4 Sm 0.9612 0.7092 0.5853
5 Y 0.1287 0.8713 0.2500
6 Y 0.2140 0.4604 0.0783
7 Y 0.4604 0.2140 0.5783
8 Y 0.5396 0.7860 0.4217
9 Y 0.7860 0.5396 0.9217
10 Y 0.8713 0.1287 0.7500
11 Sc 0.3774 0.6226 0.7500
12 Sc 0.6226 0.3774 0.2500



Material: Sm5YSc2
Method: DFT, GGA-PBE
State: optimized geometry

relative energy among the computed polymorphs: 0.00 kJ/mol of atoms
total magnetization: 0.000 μB per atom
DOS(E_F): 1.4824 states/eV/atom
ΔH_f (0 K): 0.31 eV/f.u.

a b c (Å): 7.0474 14.0942 4.9919
angles (deg): 90.00 90.00 90.00
Positions (direct):
1 Sm 0.0000 0.0000 0.0000
2 Sm 0.0006 0.2502 0.0000
3 Sm 0.2493 0.6246 0.5000
4 Sm 0.2507 0.1246 0.5000
5 Sm 0.4994 0.7502 0.0000
6 Sm 0.5000 0.5000 0.0000
7 Sm 0.5006 0.2498 0.0000
8 Sm 0.7493 0.8754 0.5000
9 Sm 0.7507 0.3754 0.5000
10 Sm 0.9994 0.7498 0.0000
11 Y 0.0000 0.5000 0.0000
12 Y 0.5000 0.0000 0.0000
13 Sc 0.2504 0.3754 0.5000
14 Sc 0.2496 0.8754 0.5000
15 Sc 0.7504 0.1246 0.5000
16 Sc 0.7496 0.6246 0.5000



Material: Sm2Y3Sc2
Method: DFT, GGA-PBE
State: optimized geometry

relative energy among the computed polymorphs: 0.00 kJ/mol of atoms
total magnetization: 0.000 μB per atom
DOS(E_F): 1.6262 states/eV/atom
ΔH_f (0 K): 0.23 eV/f.u.

a b c (Å): 12.0162 12.0162 3.4877
angles (deg): 90.00 90.00 154.89
Positions (direct):
1 Sm 0.0760 0.9240 0.0000
2 Sm 0.9240 0.0760 0.0000
3 Y 0.3425 0.6575 0.5000
4 Y 0.5000 0.5000 0.5000
5 Y 0.6575 0.3425 0.5000
6 Sc 0.2168 0.7832 0.0000
7 Sc 0.7832 0.2168 0.0000



Material: Sm3YSc4
Method: DFT, GGA-PBE
State: optimized geometry

total magnetization: 0.000 μB per atom
DOS(E_F): 1.9318 states/eV/atom
ΔH_f (0 K): 0.38 eV/f.u.

a b c (Å): 10.9018 7.0701 6.0081
angles (deg): 90.00 90.00 90.00
Positions (direct):
1 Sm 0.0000 0.1375 0.0000
2 Sm 0.2488 0.8635 0.8495
3 Sm 0.2512 0.1365 0.3495
4 Sm 0.5000 0.8625 0.5000
5 Sm 0.7488 0.1365 0.3495
6 Sm 0.7512 0.8635 0.8495
7 Y 0.0000 0.8624 0.4964
8 Y 0.5000 0.1376 0.9964
9 Sc 0.0000 0.3861 0.5083
10 Sc 0.0000 0.6114 0.0077
11 Sc 0.2488 0.6114 0.3370
12 Sc 0.2512 0.3886 0.8370
13 Sc 0.5000 0.3886 0.5077
14 Sc 0.5000 0.6139 0.0083
15 Sc 0.7488 0.3886 0.8370
16 Sc 0.7512 0.6114 0.3370



Material: Sm12Y2Sc5
Method: DFT, GGA-PBE
State: optimized geometry

total magnetization: 0.000 μB per atom
DOS(E_F): 1.8715 states/eV/atom
ΔH_f (0 K): 3.61 eV/f.u.

a b c (Å): 9.0801 9.0801 10.9445
angles (deg): 104.50 104.50 44.88
Positions (direct):
1 Sm 0.0433 0.5555 0.8898
2 Sm 0.0701 0.5512 0.4042
3 Sm 0.0858 0.0858 0.3197
4 Sm 0.3969 0.3969 0.1865
5 Sm 0.4445 0.9567 0.1102
6 Sm 0.4488 0.9299 0.5958
7 Sm 0.5512 0.0701 0.4042
8 Sm 0.5555 0.0433 0.8898
9 Sm 0.6031 0.6031 0.8135
10 Sm 0.9142 0.9142 0.6803
11 Sm 0.9299 0.4488 0.5958
12 Sm 0.9567 0.4445 0.1102
13 Y 0.2416 0.7584 0.0000
14 Y 0.7584 0.2416 0.0000
15 Sc 0.1202 0.1202 0.8274
16 Sc 0.3852 0.3852 0.6994
17 Sc 0.5000 0.5000 0.5000
18 Sc 0.6148 0.6148 0.3006
19 Sc 0.8798 0.8798 0.1726



- The highest ΔH_f (0 K) belongs to which entry?
  Sm12Y2Sc5



- Which formula does entry 4 have?
  Sm2Y3Sc